Arrangement one

A geometry-optimized NbCoSbI2 structure, computed with PBE-GGA.

Values from the calculation:
- N(E_F): 11.608 states/eV/cell
- Mass density: 5.211 g/cm3

Cell lengths 5.5163, 5.5163, 5.5227 Å; angles 90.00, 90.00, 90.00 degrees
With the nearest neighbours (Å) after each atom.
Fractional positions:
I (0.0000, 0.5000, 0.0000)  2 Nb 2.76
I (0.5000, 0.0000, 0.0000)  2 Nb 2.76
Sb (0.0000, 0.0000, 0.5000)  2 Nb 2.76
Nb (0.0000, 0.0000, 0.0000)  4 I 2.76, 2 Sb 2.76
Co (0.5000, 0.5000, 0.5000)  4 Sb 3.90, 8 I 3.90

=====

Arrangement two

A geometry-optimized NbCoSbI2 structure, computed with PBE-GGA.

Values from the calculation:
- N(E_F): 4.649 states/eV/cell
- Mass density: 6.637 g/cm3

Cell lengths 5.2046, 5.2046, 4.8710 Å; angles 90.00, 90.00, 90.00 degrees
With the nearest neighbours (Å) after each atom.
Fractional positions:
I (0.0000, 0.5000, 0.0000)  2 Co 2.60
I (0.5000, 0.0000, 0.0000)  2 Co 2.60
Sb (0.0000, 0.0000, 0.5000)  2 Co 2.44
Nb (0.5000, 0.5000, 0.5000)  8 I 3.56, 4 Sb 3.68
Co (0.0000, 0.0000, 0.0000)  2 Sb 2.44, 4 I 2.60

=====

Bottom line: arrangement two, by a margin of 49 meV per atom.

=====

Arrangement one

A geometry-optimized NbCoTeI2 structure, computed with PBE-GGA.

Values from the calculation:
- N(E_F): 10.113 states/eV/cell
- Mass density: 5.165 g/cm3

Cell lengths 5.6252, 5.6252, 5.4183 Å; angles 90.00, 90.00, 90.00 degrees
With the nearest neighbours (Å) after each atom.
Fractional positions:
I (0.0000, 0.5000, 0.0000)  2 Nb 2.81
I (0.5000, 0.0000, 0.0000)  2 Nb 2.81
Nb (0.0000, 0.0000, 0.0000)  2 Te 2.71, 4 I 2.81
Te (0.0000, 0.0000, 0.5000)  2 Nb 2.71
Co (0.5000, 0.5000, 0.5000)  8 I 3.91, 4 Te 3.98

=====

Arrangement two

A geometry-optimized NbCoTeI2 structure, computed with PBE-GGA.

Values from the calculation:
- N(E_F): 4.725 states/eV/cell
- Mass density: 6.613 g/cm3

Cell lengths 5.1188, 5.1188, 5.1100 Å; angles 90.00, 90.00, 90.00 degrees
With the nearest neighbours (Å) after each atom.
Fractional positions:
I (0.0000, 0.5000, 0.0000)  2 Co 2.56
I (0.5000, 0.0000, 0.0000)  2 Co 2.56
Nb (0.5000, 0.5000, 0.5000)  8 I 3.62, 4 Te 3.62
Te (0.0000, 0.0000, 0.5000)  2 Co 2.55
Co (0.0000, 0.0000, 0.0000)  2 Te 2.55, 4 I 2.56

=====

Bottom line: arrangement two, by a margin of 6 meV per atom.

=====

Arrangement one

A geometry-optimized CoNiI2 structure, computed with PBE-GGA.

Values from the calculation:
- N(E_F): 6.483 states/eV/cell
- Mass density: 7.519 g/cm3

Cell lengths 4.8771, 4.8771, 4.8771 Å; angles 60.00, 60.00, 60.00 degrees
With the nearest neighbours (Å) after each atom.
Fractional positions:
I (0.2500, 0.2500, 0.2500)  4 Co 2.99, 4 Ni 2.99
I (0.7500, 0.7500, 0.7500)  4 Co 2.99, 4 Ni 2.99
Ni (0.5000, 0.5000, 0.5000)  8 I 2.99
Co (0.0000, 0.0000, 0.0000)  8 I 2.99

=====

Arrangement two

A geometry-optimized CoNiI2 structure, computed with PBE-GGA.

Values from the calculation:
- N(E_F): 12.036 states/eV/cell
- Mass density: 5.769 g/cm3

Cell lengths 3.9865, 3.9865, 8.1016 Å; angles 75.76, 75.76, 60.00 degrees
With the nearest neighbours (Å) after each atom.
Fractional positions:
I (0.1035, 0.1035, 0.6894)  1 Ni 2.41
I (0.8965, 0.8965, 0.3106)  1 Ni 2.41
Ni (0.0000, 0.0000, 0.0000)  2 I 2.41
Co (0.5000, 0.5000, 0.5000)  6 I 2.73

=====

Arrangement three

A geometry-optimized CoNiI2 structure, computed with PBE-GGA.

Values from the calculation:
- N(E_F): 8.711 states/eV/cell
- Mass density: 6.098 g/cm3

Cell lengths 5.8639, 5.8639, 7.1971 Å; angles 65.96, 65.96, 90.00 degrees
With the nearest neighbours (Å) after each atom.
Fractional positions:
I (0.6292, 0.1250, 0.2500)  2 Ni 2.53, 2 Co 2.56
I (0.1208, 0.6250, 0.2500)  2 Ni 2.53, 2 Co 2.56
I (0.3750, 0.3708, 0.7500)  2 Ni 2.53, 2 Co 2.56
I (0.8750, 0.8792, 0.7500)  2 Ni 2.53, 2 Co 2.56
Ni (0.0000, 0.0000, 0.0000)  4 I 2.53
Ni (0.7500, 0.2500, 0.5000)  4 I 2.53
Co (0.5000, 0.5000, 0.0000)  4 I 2.56
Co (0.2500, 0.7500, 0.5000)  4 I 2.56

=====

Bottom line: arrangement three, by a margin of 206 meV per atom.